Density functional theory data (GGA-PBE) for a relaxed Ac3HgRuBr crystal.

```
12
Lattice="8.4459 0.0000 0.0000 0.0000 4.3167 0.0000 -0.6295 0.0000 11.7049" Properties=species:S:1:pos:R:3 pbc="T T T"
Ac 0.4432 1.0792 2.4570
Ac 1.3802 3.2375 5.9956
Ac 2.5485 1.0792 9.2908
Ac 5.2679 3.2375 2.4141
Ac 6.4362 1.0792 5.7093
Ac 7.3731 3.2375 9.2479
Hg 3.3995 1.0792 4.2217
Hg 4.4169 3.2375 7.4832
Ru 0.2367 1.0792 7.7999
Ru 7.5797 3.2375 3.9050
Br 2.0333 3.2375 0.0205
Br 5.7831 1.0792 11.6844
```

Symmetry ... P2_1/m (11)
Energy ... -4.6001 eV/atom
Formation energy from raw total energies ... -4.02 eV per formula unit

Density functional theory data (GGA-PBE) for a relaxed Ac6HgRu2Br3 crystal.

```
12
Lattice="3.8444 -6.6608 0.0000 3.8444 6.6608 0.0000 -2.5451 0.0000 8.2845" Properties=species:S:1:pos:R:3 pbc="T T T"
Ac -0.1053 2.4305 6.6360
Ac 1.0379 0.0000 1.6474
Ac -0.1053 -2.4305 6.6360
Ac 5.2490 2.4305 1.6484
Ac 4.1057 0.0000 6.6371
Ac 5.2490 -2.4305 1.6484
Hg 3.8444 0.0000 0.0000
Ru 3.8444 4.4428 0.0000
Ru 3.8444 -4.4428 0.0000
Br -1.2726 0.0000 4.1422
Br 2.5718 2.2432 4.1422
Br 2.5718 -2.2432 4.1422
```

Symmetry ... C2/m (12)
Energy ... -4.9304 eV/atom
Formation energy from raw total energies ... -10.64 eV per formula unit

Density functional theory data (GGA-PBE) for a relaxed Ac8Si3HgBr4 crystal.

```
16
Lattice="4.6424 2.6803 7.4385 -4.6424 2.6803 7.4385 0.0000 -5.3606 7.4385" Properties=species:S:1:pos:R:3 pbc="T T T"
Ac -2.3786 -1.3733 12.8258
Ac 0.0000 0.0000 5.3449
Ac 0.0000 -2.7466 9.4896
Ac -2.3786 1.3733 9.4896
Ac 2.3786 -1.3733 12.8258
Ac 0.0000 2.7466 12.8258
Ac 0.0000 0.0000 16.9704
Ac 2.3786 1.3733 9.4896
Si -4.6424 0.0000 11.1577
Si -2.3212 1.3401 3.7192
Si 2.3212 1.3401 3.7192
Hg 0.0000 0.0000 11.1577
Br 0.0000 0.0000 0.0000
Br -2.3212 -1.3401 7.4385
Br -2.3212 1.3401 14.8769
Br 0.0000 2.6803 7.4385
```

Symmetry ... R-3m (166)
Energy ... -4.4833 eV/atom
Formation energy from raw total energies ... -15.60 eV per formula unit

Density functional theory data (GGA-PBE) for a relaxed AcHgTeBr crystal.

```
4
Lattice="0.0000 3.9866 3.9866 3.9866 0.0000 3.9866 3.9866 3.9866 0.0000" Properties=species:S:1:pos:R:3 pbc="T T T"
Ac 0.0000 0.0000 0.0000
Hg 3.9866 3.9866 3.9866
Te 1.9933 1.9933 1.9933
Br 5.9799 5.9799 5.9799
```

Symmetry ... F-43m (216)
Energy ... -3.4861 eV/atom
Formation energy from raw total energies ... -4.72 eV per formula unit

Density functional theory data (GGA-PBE) for a relaxed AcTlHgBr crystal.

```
4
Lattice="0.0000 3.8923 3.8923 3.8923 0.0000 3.8923 3.8923 3.8923 0.0000" Properties=species:S:1:pos:R:3 pbc="T T T"
Ac 0.0000 0.0000 0.0000
Tl 3.8923 3.8923 3.8923
Hg 1.9461 1.9461 1.9461
Br 5.8384 5.8384 5.8384
```

Symmetry ... F-43m (216)
Energy ... -2.7683 eV/atom
Formation energy from raw total energies ... -2.62 eV per formula unit

Density functional theory data (GGA-PBE) for a relaxed AcHoBr crystal.

```
6
Lattice="3.8645 0.0000 0.0000 -1.9180 7.1312 0.0000 -1.9240 -2.8508 7.7389" Properties=species:S:1:pos:R:3 pbc="T T T"
Ac 0.0092 -0.2826 2.6027
Ac 0.0133 4.5630 5.1363
Ho -1.9178 1.2530 5.3710
Ho 1.9403 3.0275 2.3679
Br 0.0079 2.0373 0.2011
Br 0.0146 2.2431 7.5378
```

Symmetry ... P-1 (2)
Energy ... -4.1362 eV/atom
Formation energy from raw total energies ... -2.05 eV per formula unit

Density functional theory data (GGA-PBE) for a relaxed Ac2HoBr crystal.

```
4
Lattice="1.9573 1.1301 11.2389 -1.9573 1.1301 11.2389 0.0000 -2.2602 11.2389" Properties=species:S:1:pos:R:3 pbc="T T T"
Ac 0.0000 0.0000 8.2319
Ac 0.0000 0.0000 25.4848
Ho 0.0000 0.0000 0.0000
Br 0.0000 0.0000 16.8584
```

Symmetry ... R-3m (166)
Energy ... -4.1313 eV/atom
Formation energy from raw total energies ... -2.06 eV per formula unit

Density functional theory data (GGA-PBE) for a relaxed Ac2IBr crystal.

```
4
Lattice="2.0047 1.1574 10.2882 -2.0047 1.1574 10.2882 0.0000 -2.3148 10.2882" Properties=species:S:1:pos:R:3 pbc="T T T"
Ac 0.0000 0.0000 7.6232
Ac 0.0000 0.0000 23.2414
I 0.0000 0.0000 0.0000
Br 0.0000 0.0000 15.4323
```

Symmetry ... R-3m (166)
Energy ... -3.9095 eV/atom
Formation energy from raw total energies ... -4.20 eV per formula unit
ΔE to the lowest computed polymorph ... 19.9 meV/atom

Density functional theory data (GGA-PBE) for a relaxed AcI2Br crystal.

```
4
Lattice="0.0000 4.0864 4.0864 4.0864 0.0000 4.0864 4.0864 4.0864 0.0000" Properties=species:S:1:pos:R:3 pbc="T T T"
Ac 0.0000 0.0000 0.0000
I 2.0432 2.0432 2.0432
I 6.1295 6.1295 6.1295
Br 4.0864 4.0864 4.0864
```

Symmetry ... Fm-3m (225)
Energy ... -3.5901 eV/atom
Formation energy from raw total energies ... -5.48 eV per formula unit
ΔE to the lowest computed polymorph ... 363.1 meV/atom

Density functional theory data (GGA-PBE) for a relaxed AcIBr crystal.

```
3
Lattice="0.0000 3.8957 3.8957 3.8957 0.0000 3.8957 3.8957 3.8957 0.0000" Properties=species:S:1:pos:R:3 pbc="T T T"
Ac 0.0000 0.0000 0.0000
I 1.9478 1.9478 1.9478
Br 5.8435 5.8435 5.8435
```

Symmetry ... F-43m (216)
Energy ... -3.7701 eV/atom
Formation energy from raw total energies ... -3.98 eV per formula unit
ΔE to the lowest computed polymorph ... 165.5 meV/atom

Density functional theory data (GGA-PBE) for a relaxed AcI2Br crystal.

```
4
Lattice="-2.2269 5.4073 3.6459 2.2269 -5.4073 3.6459 2.2269 5.4073 -3.6459" Properties=species:S:1:pos:R:3 pbc="T T T"
Ac 0.0000 0.0000 0.0000
I 2.2269 -2.0470 1.4360
I 2.2269 2.0470 1.4360
Br 0.0000 5.4073 1.5769
```

Symmetry ... Imm2 (44)
Energy ... -3.8839 eV/atom
Formation energy from raw total energies ... -6.65 eV per formula unit
ΔE to the lowest computed polymorph ... 69.4 meV/atom

Density functional theory data (GGA-PBE) for a relaxed AcIBr6 crystal.

```
8
Lattice="6.3877 0.0000 0.0000 2.3973 7.2115 0.0000 0.5572 2.6444 7.3357" Properties=species:S:1:pos:R:3 pbc="T T T"
Ac 0.0000 0.0000 0.0000
I 3.4725 1.3222 3.6678
Br 1.6851 4.8600 5.8161
Br 3.7900 6.8795 2.7920
Br 5.1850 7.8818 6.2178
Br 4.1573 1.9741 1.1179
Br 5.5523 2.9763 4.5437
Br 7.6573 4.9959 1.5196
```

Symmetry ... P-1 (2)
Energy ... -2.8680 eV/atom
Formation energy from raw total energies ... -7.25 eV per formula unit